1.
Material: Er3InAg3Se8
Method: DFT, PBE
State: relaxed

Calculated values
M_tot = 0.000 μB/atom
N(E_F) = 7.5 states/eV/f.u.
E_form (uncorrected) = -0.97 eV/atom
ρ = 6.9 Mg/m³

extended XYZ file:
```
15
Lattice="6.929 -4.086 0.000 6.929 4.086 0.000 -4.546 0.000 6.660" Properties=species:S:1:pos:R:3 pbc="T T T"
Er 0.000 0.000 0.000
Er 1.192 2.043 3.330
Er 1.192 -2.043 3.330
In 6.929 0.000 0.000
Ag 3.465 2.043 0.000
Ag 3.465 -2.043 0.000
Ag 4.657 0.000 3.330
Se 2.272 0.000 1.692
Se 5.818 1.995 1.620
Se 0.110 0.000 5.030
Se 3.495 1.995 5.040
Se 5.818 -1.995 1.620
Se 9.203 0.000 1.630
Se 3.495 -1.995 5.040
Se 7.042 0.000 4.969
```

---

2.
Material: KY2Hg
Method: DFT, PBE
State: relaxed

Calculated values
M_tot = 0.000 μB/atom
N(E_F) = 5.1 states/eV/f.u.
energy of formation = 226 meV/atom
ρ = 5.3 Mg/m³

extended XYZ file:
```
4
Lattice="3.450 -6.158 0.000 3.450 6.158 0.000 -1.623 0.000 3.073" Properties=species:S:1:pos:R:3 pbc="T T T"
K 0.000 0.000 0.000
Y 0.913 3.079 1.536
Y 0.913 -3.079 1.536
Hg 3.450 0.000 0.000
```

---

3.
Material: CrGePd3
Method: DFT, PBE
State: relaxed

Calculated values
M_tot = 0.000 μB/atom
N(E_F) = 4.7 states/eV/f.u.
energy of formation = 864 meV/atom
ρ = 7.6 Mg/m³

extended XYZ file:
```
5
Lattice="4.590 0.000 0.000 0.000 4.590 0.000 0.000 0.000 4.590" Properties=species:S:1:pos:R:3 pbc="T T T"
Cr 0.000 0.000 0.000
Ge 2.295 2.295 2.295
Pd 0.000 0.000 2.295
Pd 0.000 2.295 0.000
Pd 2.295 0.000 0.000
```

---

4.
Material: KLi2Co
Method: DFT, PBE
State: relaxed

Calculated values
M_tot = 0.350 μB/atom
N(E_F) = 7.7 states/eV/f.u.
energy of formation = 753 meV/atom
ρ = 2.0 Mg/m³

extended XYZ file:
```
4
Lattice="-2.224 2.224 4.669 2.224 -2.224 4.669 2.224 2.224 -4.669" Properties=species:S:1:pos:R:3 pbc="T T T"
K 0.000 0.000 0.000
Li 2.224 0.000 2.335
Li 0.000 0.000 4.669
Co 0.000 2.224 2.335
```

---

5.
Material: CaLaMgPb2
Method: DFT, PBE
State: relaxed

Calculated values
M_tot = 0.000 μB/atom
N(E_F) = 4.0 states/eV/f.u.
energy of formation = 148 meV/atom
ρ = 5.8 Mg/m³

extended XYZ file:
```
5
Lattice="5.530 0.000 0.000 0.000 5.530 0.000 0.000 0.000 5.742" Properties=species:S:1:pos:R:3 pbc="T T T"
Ca 0.000 0.000 0.000
La 2.765 2.765 0.000
Mg 2.765 2.765 2.871
Pb 0.000 2.765 2.871
Pb 2.765 0.000 2.871
```

---

6.
Material: Mg2TcAu
Method: DFT, PBE
State: relaxed

Calculated values
M_tot = 0.000 μB/atom
N(E_F) = 3.2 states/eV/f.u.
energy of formation = 47 meV/atom
ρ = 8.4 Mg/m³

extended XYZ file:
```
4
Lattice="4.576 -1.413 0.000 4.576 1.413 0.000 -0.781 0.000 5.264" Properties=species:S:1:pos:R:3 pbc="T T T"
Mg 2.069 0.000 1.369
Mg 6.303 0.000 3.895
Tc -0.391 0.000 2.632
Au 4.576 0.000 0.000
```

---

Copy entry 4 word for word.
Material: KLi2Co
Method: DFT, PBE
State: relaxed

Calculated values
M_tot = 0.350 μB/atom
N(E_F) = 7.7 states/eV/f.u.
energy of formation = 753 meV/atom
ρ = 2.0 Mg/m³

extended XYZ file:
```
4
Lattice="-2.224 2.224 4.669 2.224 -2.224 4.669 2.224 2.224 -4.669" Properties=species:S:1:pos:R:3 pbc="T T T"
K 0.000 0.000 0.000
Li 2.224 0.000 2.335
Li 0.000 0.000 4.669
Co 0.000 2.224 2.335
```

---

Question: Among the records above, which one has the lowest ρ?
Answer: KLi2Co

---

What did the second record say?
Material: KY2Hg
Method: DFT, PBE
State: relaxed

Calculated values
M_tot = 0.000 μB/atom
N(E_F) = 5.1 states/eV/f.u.
energy of formation = 226 meV/atom
ρ = 5.3 Mg/m³

extended XYZ file:
```
4
Lattice="3.450 -6.158 0.000 3.450 6.158 0.000 -1.623 0.000 3.073" Properties=species:S:1:pos:R:3 pbc="T T T"
K 0.000 0.000 0.000
Y 0.913 3.079 1.536
Y 0.913 -3.079 1.536
Hg 3.450 0.000 0.000
```